# ScOs2Au, relaxed, DFT PBE
# V ... 16.67 A^3/atom
# Energy above the most stable polymorph in this dataset ... 24.7 meV per atom
# Density of states at the Fermi level ... 3.8 states/eV/f.u.
data_ScOs2Au
_chemical_formula_sum 'Sc1 Os2 Au1'
_cell_length_a 2.8751
_cell_length_b 2.8751
_cell_length_c 8.0649
_cell_angle_alpha 90.00
_cell_angle_beta 90.00
_cell_angle_gamma 90.00
_symmetry_space_group_name_H-M 'P 4 m m'
_symmetry_Int_Tables_number 99
_symmetry_space_group_name_Hall 'P 4 -2'
loop_
_atom_site_label
_atom_site_type_symbol
_atom_site_fract_x
_atom_site_fract_y
_atom_site_fract_z
Sc1 Sc 0.0000 0.0000 0.0000
Os1 Os 0.0000 0.0000 0.5392
Os2 Os 0.5000 0.5000 0.7418
Au1 Au 0.5000 0.5000 0.2708